A relaxed Tb3NdEr2Se6 crystal, computed with PBE-GGA.

```
12
Lattice="-1.302 -5.212 4.655 0.044 -1.359 -6.977 6.965 0.833 1.082" Properties=species:S:1:pos:R:3 pbc="T T T"
Tb 3.314 -1.552 -4.597
Tb 2.393 -4.186 3.357
Tb 2.854 -2.869 -0.620
Nd 0.000 0.000 0.000
Er -0.407 -2.649 -3.084
Er -0.852 -3.922 0.762
Se 4.040 -4.930 1.095
Se 0.784 -4.638 -1.445
Se 1.667 -0.809 -2.336
Se 4.506 -3.596 -2.930
Se 4.923 -1.100 0.205
Se 1.201 -2.142 1.690
```

A relaxed TbNd2ErSe6 crystal, computed with PBE-GGA.

```
10
Lattice="7.346 0.000 0.000 3.673 6.362 0.000 3.673 2.121 6.516" Properties=species:S:1:pos:R:3 pbc="T T T"
Tb 3.673 2.120 0.292
Nd 7.347 4.241 2.882
Nd 3.673 2.121 6.131
Er 11.019 6.362 3.536
Se 6.146 1.845 1.684
Se 5.871 6.479 1.684
Se 10.023 4.400 1.685
Se 8.575 6.097 4.927
Se 8.339 2.249 4.928
Se 5.125 4.378 4.928
```

A relaxed TbNd2ErSe4 crystal, computed with PBE-GGA.

```
8
Lattice="4.078 0.000 0.000 0.000 7.113 0.135 0.000 -2.477 6.919" Properties=species:S:1:pos:R:3 pbc="T T T"
Tb 2.039 3.556 0.067
Nd 2.039 -1.238 3.460
Nd 0.000 2.318 3.527
Er 0.000 0.000 0.000
Se 2.039 1.140 1.647
Se 2.039 3.496 5.407
Se 0.000 -0.099 5.326
Se 0.000 4.735 1.728
```

| no. | total DFT energy (no corrections) (eV/atom) |
| --- | --- |
| 1 | -5.82 |
| 2 | -5.81 |
| 3 | -5.87 |